# La4CuIrI2 (PBE, relaxed)
data_La4CuIrI2
_cell_length_a 7.3722
_cell_length_b 4.3411
_cell_length_c 8.5986
_cell_angle_alpha 90.00
_cell_angle_beta 106.83
_cell_angle_gamma 90.00
_space_group_name_H-M_alt 'P 1 2/m 1'
_space_group_IT_number 10
_space_group_name_Hall '-P 2y'
loop_
_atom_site_label
_atom_site_type_symbol
_atom_site_fract_x
_atom_site_fract_y
_atom_site_fract_z
_atom_site_occupancy
La1 La 0.2241 0.0000 0.1876 1
La2 La 0.2569 0.5000 0.8120 1
Cu1 Cu 0.5000 0.0000 0.0000 1
Ir1 Ir 0.0000 0.5000 0.0000 1
I1 I 0.0000 0.0000 0.5000 1
I2 I 0.5000 0.5000 0.5000 1
# DFT total energy (eV per atom): -5.31
# Raw formation energy (eV per atom): -0.843
# Fermi-level density of states (states/eV per cell): 6.449

---

# CuIrI2N (PBE, relaxed)
data_CuIrI2N
_cell_length_a 5.6245
_cell_length_b 5.6245
_cell_length_c 3.7029
_cell_angle_alpha 90.00
_cell_angle_beta 90.00
_cell_angle_gamma 90.00
_space_group_name_H-M_alt 'P 4/m m m'
_space_group_IT_number 123
_space_group_name_Hall '-P 4 2'
loop_
_atom_site_label
_atom_site_type_symbol
_atom_site_fract_x
_atom_site_fract_y
_atom_site_fract_z
_atom_site_occupancy
Cu1 Cu 0.0000 0.0000 0.0000 1
Ir1 Ir 0.5000 0.5000 0.5000 1
I1 I 0.0000 0.5000 0.5000 1
N1 N 0.5000 0.5000 0.0000 1
# DFT total energy (eV per atom): -4.28
# Distance to the lowest polymorph of the same formula (meV per atom): 0
# Raw formation energy (eV per atom): 0.598
# Fermi-level density of states (states/eV per cell): 2.315

---

# CuIrI2N (PBE, relaxed)
data_CuIrI2N
_cell_length_a 5.3676
_cell_length_b 5.3676
_cell_length_c 3.5301
_cell_angle_alpha 90.00
_cell_angle_beta 90.00
_cell_angle_gamma 90.00
_space_group_name_H-M_alt 'P 4/m m m'
_space_group_IT_number 123
_space_group_name_Hall '-P 4 2'
loop_
_atom_site_label
_atom_site_type_symbol
_atom_site_fract_x
_atom_site_fract_y
_atom_site_fract_z
_atom_site_occupancy
Cu1 Cu 0.0000 0.0000 0.0000 1
Ir1 Ir 0.5000 0.5000 0.5000 1
I1 I 0.0000 0.5000 0.0000 1
N1 N 0.0000 0.0000 0.5000 1
# DFT total energy (eV per atom): -3.49
# Distance to the lowest polymorph of the same formula (meV per atom): 784
# Raw formation energy (eV per atom): 1.382
# Fermi-level density of states (states/eV per cell): 4.668

---

# CuIrIN2 (PBE, relaxed)
data_CuIrIN2
_cell_length_a 3.7506
_cell_length_b 3.7506
_cell_length_c 6.7672
_cell_angle_alpha 90.00
_cell_angle_beta 90.00
_cell_angle_gamma 90.00
_space_group_name_H-M_alt 'P 4/m m m'
_space_group_IT_number 123
_space_group_name_Hall '-P 4 2'
loop_
_atom_site_label
_atom_site_type_symbol
_atom_site_fract_x
_atom_site_fract_y
_atom_site_fract_z
_atom_site_occupancy
Cu1 Cu 0.0000 0.0000 0.0000 1
Ir1 Ir 0.5000 0.5000 0.5000 1
I1 I 0.0000 0.0000 0.5000 1
N1 N 0.0000 0.5000 0.0000 1
# DFT total energy (eV per atom): -4.28
# Distance to the lowest polymorph of the same formula (meV per atom): 1144
# Raw formation energy (eV per atom): 1.951
# Fermi-level density of states (states/eV per cell): 3.810

---

# CuIrIN2 (PBE, relaxed)
data_CuIrIN2
_cell_length_a 3.7478
_cell_length_b 3.7478
_cell_length_c 8.6260
_cell_angle_alpha 90.00
_cell_angle_beta 90.00
_cell_angle_gamma 90.00
_space_group_name_H-M_alt 'P 4/m m m'
_space_group_IT_number 123
_space_group_name_Hall '-P 4 2'
loop_
_atom_site_label
_atom_site_type_symbol
_atom_site_fract_x
_atom_site_fract_y
_atom_site_fract_z
_atom_site_occupancy
Cu1 Cu 0.0000 0.0000 0.0000 1
Ir1 Ir 0.5000 0.5000 0.5000 1
I1 I 0.5000 0.5000 0.0000 1
N1 N 0.0000 0.5000 0.5000 1
# DFT total energy (eV per atom): -5.42
# Distance to the lowest polymorph of the same formula (meV per atom): 0
# Raw formation energy (eV per atom): 0.808
# Fermi-level density of states (states/eV per cell): 3.141

---

# Nd6CuIr2I3 (PBE, relaxed)
data_Nd6CuIr2I3
_cell_length_a 7.3238
_cell_length_b 12.6824
_cell_length_c 8.4849
_cell_angle_alpha 90.00
_cell_angle_beta 106.71
_cell_angle_gamma 90.00
_space_group_name_H-M_alt 'C 1 2/m 1'
_space_group_IT_number 12
_space_group_name_Hall '-C 2y'
loop_
_atom_site_label
_atom_site_type_symbol
_atom_site_fract_x
_atom_site_fract_y
_atom_site_fract_z
_atom_site_occupancy
Nd1 Nd 0.2185 0.0000 0.1860 1
Nd2 Nd 0.2341 0.3282 0.1866 1
Cu1 Cu 0.0000 0.5000 0.0000 1
Ir1 Ir 0.0000 0.1668 0.0000 1
I1 I 0.0000 0.0000 0.5000 1
I2 I 0.0000 0.3342 0.5000 1
# DFT total energy (eV per atom): -5.42
# Raw formation energy (eV per atom): -0.831
# Fermi-level density of states (states/eV per cell): 15.243

---

# Nd8CuIr3I4 (PBE, relaxed)
data_Nd8CuIr3I4
_cell_length_a 8.4527
_cell_length_b 8.4527
_cell_length_c 24.3605
_cell_angle_alpha 90.00
_cell_angle_beta 90.00
_cell_angle_gamma 120.00
_space_group_name_H-M_alt 'R -3 m'
_space_group_IT_number 166
_space_group_name_Hall '-R 3 2"'
loop_
_atom_site_label
_atom_site_type_symbol
_atom_site_fract_x
_atom_site_fract_y
_atom_site_fract_z
_atom_site_occupancy
Nd1 Nd 0.0000 0.0000 0.2286 1
Nd2 Nd 0.0081 0.5040 0.7716 1
Cu1 Cu 0.0000 0.0000 0.5000 1
Ir1 Ir 0.0000 0.5000 0.5000 1
I1 I 0.0000 0.0000 0.0000 1
I2 I 0.0000 0.5000 0.0000 1
# DFT total energy (eV per atom): -5.55
# Raw formation energy (eV per atom): -0.864
# Fermi-level density of states (states/eV per cell): 26.169

---

# Pm8CuIr3I4 (PBE, relaxed)
data_Pm8CuIr3I4
_cell_length_a 14.5411
_cell_length_b 8.4011
_cell_length_c 9.4078
_cell_angle_alpha 90.00
_cell_angle_beta 120.95
_cell_angle_gamma 90.00
_space_group_name_H-M_alt 'C 1 2/m 1'
_space_group_IT_number 12
_space_group_name_Hall '-C 2y'
loop_
_atom_site_label
_atom_site_type_symbol
_atom_site_fract_x
_atom_site_fract_y
_atom_site_fract_z
_atom_site_occupancy
Pm1 Pm 0.0239 0.2438 0.3154 1
Pm2 Pm 0.2286 0.0000 0.6855 1
Pm3 Pm 0.2321 0.5000 0.6845 1
Cu1 Cu 0.0000 0.5000 0.5000 1
Ir1 Ir 0.0000 0.0000 0.5000 1
Ir2 Ir 0.2500 0.2500 0.5000 1
I1 I 0.0000 0.0000 0.0000 1
I2 I 0.0000 0.5000 0.0000 1
I3 I 0.2500 0.2500 0.0000 1
# DFT total energy (eV per atom): -5.55
# Raw formation energy (eV per atom): -0.871
# Fermi-level density of states (states/eV per cell): 17.084

---

# Pm6CuIr2I3 (PBE, relaxed)
data_Pm6CuIr2I3
_cell_length_a 7.2769
_cell_length_b 12.5999
_cell_length_c 8.4291
_cell_angle_alpha 90.00
_cell_angle_beta 106.73
_cell_angle_gamma 90.00
_space_group_name_H-M_alt 'C 1 2/m 1'
_space_group_IT_number 12
_space_group_name_Hall '-C 2y'
loop_
_atom_site_label
_atom_site_type_symbol
_atom_site_fract_x
_atom_site_fract_y
_atom_site_fract_z
_atom_site_occupancy
Pm1 Pm 0.2185 0.0000 0.1855 1
Pm2 Pm 0.2338 0.3283 0.1861 1
Cu1 Cu 0.0000 0.5000 0.0000 1
Ir1 Ir 0.0000 0.1668 0.0000 1
I1 I 0.0000 0.0000 0.5000 1
I2 I 0.0000 0.3341 0.5000 1
# DFT total energy (eV per atom): -5.42
# Raw formation energy (eV per atom): -0.837
# Fermi-level density of states (states/eV per cell): 14.822

---

# Pr4CuIrI2 (PBE, relaxed)
data_Pr4CuIrI2
_cell_length_a 7.3069
_cell_length_b 4.3083
_cell_length_c 8.5232
_cell_angle_alpha 90.00
_cell_angle_beta 107.05
_cell_angle_gamma 90.00
_space_group_name_H-M_alt 'P 1 2/m 1'
_space_group_IT_number 10
_space_group_name_Hall '-P 2y'
loop_
_atom_site_label
_atom_site_type_symbol
_atom_site_fract_x
_atom_site_fract_y
_atom_site_fract_z
_atom_site_occupancy
Pr1 Pr 0.2253 0.0000 0.1867 1
Pr2 Pr 0.2607 0.5000 0.8127 1
Cu1 Cu 0.5000 0.0000 0.0000 1
Ir1 Ir 0.0000 0.5000 0.0000 1
I1 I 0.0000 0.0000 0.5000 1
I2 I 0.5000 0.5000 0.5000 1
# DFT total energy (eV per atom): -5.14
# Raw formation energy (eV per atom): -0.743
# Fermi-level density of states (states/eV per cell): 6.130

---

# Pr6CuIr2I3 (PBE, relaxed)
data_Pr6CuIr2I3
_cell_length_a 7.3746
_cell_length_b 12.7716
_cell_length_c 8.5437
_cell_angle_alpha 90.00
_cell_angle_beta 106.72
_cell_angle_gamma 90.00
_space_group_name_H-M_alt 'C 1 2/m 1'
_space_group_IT_number 12
_space_group_name_Hall '-C 2y'
loop_
_atom_site_label
_atom_site_type_symbol
_atom_site_fract_x
_atom_site_fract_y
_atom_site_fract_z
_atom_site_occupancy
Pr1 Pr 0.2185 0.0000 0.1866 1
Pr2 Pr 0.2343 0.3281 0.1871 1
Cu1 Cu 0.0000 0.5000 0.0000 1
Ir1 Ir 0.0000 0.1668 0.0000 1
I1 I 0.0000 0.0000 0.5000 1
I2 I 0.0000 0.3342 0.5000 1
# DFT total energy (eV per atom): -5.42
# Raw formation energy (eV per atom): -0.825
# Fermi-level density of states (states/eV per cell): 15.694

---

# CuIr2PtI (PBE, relaxed)
data_CuIr2PtI
_cell_length_a 4.8453
_cell_length_b 4.8453
_cell_length_c 4.9401
_cell_angle_alpha 90.00
_cell_angle_beta 90.00
_cell_angle_gamma 90.00
_space_group_name_H-M_alt 'P 4/m m m'
_space_group_IT_number 123
_space_group_name_Hall '-P 4 2'
loop_
_atom_site_label
_atom_site_type_symbol
_atom_site_fract_x
_atom_site_fract_y
_atom_site_fract_z
_atom_site_occupancy
Cu1 Cu 0.0000 0.0000 0.0000 1
Ir1 Ir 0.0000 0.5000 0.5000 1
Pt1 Pt 0.5000 0.5000 0.0000 1
I1 I 0.5000 0.5000 0.5000 1
# DFT total energy (eV per atom): -3.98
# Raw formation energy (eV per atom): 1.905
# Fermi-level density of states (states/eV per cell): 6.514